(1)
# Tm3Ge13Pt4

A relaxed Tm3Ge13Pt4 crystal (PBE-GGA, OQMD via LeMat-Bulk).

a = 9.0496 Å, b = 9.0496 Å, c = 9.1128 Å
α = 90.25°, β = 90.25°, γ = 89.85°
With the nearest neighbours (Å) after each atom.
Positions (direct):
Tm: 0.9999 0.0001 0.0000  9 Ge 3.01-3.33, 4 Pt 3.12-3.21
Tm: 0.0001 0.9999 0.5000  9 Ge 3.01-3.33, 4 Pt 3.12-3.21
Tm: 0.2499 0.5023 0.2438  11 Ge 3.03-3.38, 4 Pt 3.15-3.27
Tm: 0.5023 0.2499 0.7438  11 Ge 3.03-3.38, 4 Pt 3.15-3.27
Tm: 0.5019 0.7446 0.7438  10 Ge 2.99-3.28, 4 Pt 3.17-3.26
Tm: 0.7446 0.5019 0.2438  10 Ge 2.99-3.28, 4 Pt 3.17-3.26
Ge: 0.0019 0.6103 0.4709  2 Pt 2.57-2.60, 2 Ge 2.66-2.69
Ge: 0.1100 0.2525 0.7442  2 Ge 2.52-2.63, 2 Pt 2.57-2.59
Ge: 0.1144 0.7725 0.7446  2 Pt 2.59-2.61, 2 Ge 2.65-2.70
Ge: 0.1519 0.8374 0.2460  2 Pt 2.56-2.57, 2 Ge 2.63-2.67
Ge: 0.2525 0.1100 0.2442  2 Ge 2.52-2.63, 2 Pt 2.57-2.59
Ge: 0.3189 0.4957 0.6087  2 Pt 2.59-2.60, 3 Ge 2.75-2.85
Ge: 0.3280 0.9964 0.8883  2 Pt 2.54-2.59, 2 Ge 2.66
Ge: 0.3326 0.9982 0.5962  2 Pt 2.55, 2 Ge 2.62-2.66
Ge: 0.3453 0.4982 0.9090  2 Pt 2.53-2.60, 3 Ge 2.75-2.79
Ge: 0.4957 0.3189 0.1087  2 Pt 2.59-2.60, 3 Ge 2.75-2.85
Ge: 0.4972 0.7365 0.1356  2 Ge 2.53-2.62, 2 Pt 2.58-2.60
Ge: 0.4982 0.3453 0.4090  2 Pt 2.53-2.60, 3 Ge 2.75-2.79
Ge: 0.5028 0.6524 0.4107  2 Pt 2.55-2.57, 3 Ge 2.62-2.85
Ge: 0.5056 0.9937 0.2465  5 Ge 2.52-2.69
Ge: 0.6085 0.9957 0.5089  2 Ge 2.56-2.62, 2 Pt 2.58-2.61
Ge: 0.6103 0.0019 0.9709  2 Pt 2.57-2.60, 2 Ge 2.66-2.69
Ge: 0.6524 0.5028 0.9107  2 Pt 2.55-2.57, 3 Ge 2.62-2.85
Ge: 0.7365 0.4972 0.6357  2 Ge 2.53-2.62, 2 Pt 2.58-2.60
Ge: 0.7725 0.1144 0.2446  2 Pt 2.59-2.61, 2 Ge 2.65-2.70
Ge: 0.8281 0.8574 0.7498  2 Pt 2.56-2.59, 2 Ge 2.67-2.70
Ge: 0.8374 0.1519 0.7460  2 Pt 2.56-2.57, 2 Ge 2.63-2.67
Ge: 0.8574 0.8281 0.2498  2 Pt 2.56-2.59, 2 Ge 2.67-2.70
Ge: 0.9937 0.5056 0.7465  5 Ge 2.52-2.69
Ge: 0.9964 0.3280 0.3883  2 Pt 2.54-2.59, 2 Ge 2.66
Ge: 0.9957 0.6085 0.0089  2 Ge 2.56-2.62, 2 Pt 2.58-2.61
Ge: 0.9982 0.3326 0.0962  2 Pt 2.55, 2 Ge 2.62-2.66
Pt: 0.2430 0.2444 0.4930  6 Ge 2.54-2.60
Pt: 0.2444 0.2430 0.9930  6 Ge 2.54-2.60
Pt: 0.2484 0.7455 0.9973  6 Ge 2.53-2.61
Pt: 0.2490 0.7483 0.4951  6 Ge 2.55-2.59
Pt: 0.7455 0.2484 0.4973  6 Ge 2.53-2.61
Pt: 0.7483 0.2490 0.9951  6 Ge 2.55-2.59
Pt: 0.7489 0.7515 0.0004  6 Ge 2.55-2.60
Pt: 0.7515 0.7489 0.5004  6 Ge 2.55-2.60

Results
Its total magnetic moment is 0.0 μB per formula unit. Its space group is No. 9. The total energy is -0.396 Ry per atom. The calculated density is 9.93 g/cm3. The crystal system is monoclinic.

(2)
# PmN

A relaxed PmN crystal (PBE-GGA, OQMD via LeMat-Bulk).

a = 6.5710 Å, b = 3.6229 Å, c = 6.3231 Å
α = 90.00°, β = 90.00°, γ = 90.00°
With the nearest neighbours (Å) after each atom.
Positions (direct):
Pm: 0.0000 0.0000 0.0000  6 N 2.48-2.58
Pm: 0.2500 0.5000 0.4947  3 N 2.25-2.30
Pm: 0.5000 0.0000 0.0000  6 N 2.48-2.58
Pm: 0.7500 0.5000 0.5053  3 N 2.25-2.30
N: 0.2500 0.0000 0.7055  4 Pm 2.25-2.48
N: 0.2500 0.5000 0.1306  1 Pm 2.30
N: 0.7500 0.0000 0.2945  4 Pm 2.25-2.48
N: 0.7500 0.5000 0.8694  1 Pm 2.30

Results
Its total magnetic moment is 0.0 μB per formula unit. Its space group is No. 51. The total energy is -0.545 Ry per atom. The calculated density is 7.02 g/cm3. The crystal system is orthorhombic.

(3)
# ZrBeCoBi

A relaxed ZrBeCoBi crystal (PBE-GGA, OQMD via LeMat-Bulk).

a = 6.5280 Å, b = 6.5280 Å, c = 6.5280 Å
α = 90.00°, β = 90.00°, γ = 90.00°
With the nearest neighbours (Å) after each atom.
Positions (direct):
Zr: 0.0000 0.0000 0.0000  4 Bi 2.83, 4 Be 2.83
Zr: 0.0000 0.5000 0.5000  4 Bi 2.83, 4 Be 2.83
Zr: 0.5000 0.0000 0.5000  4 Bi 2.83, 4 Be 2.83
Zr: 0.5000 0.5000 0.0000  4 Bi 2.83, 4 Be 2.83
Be: 0.2500 0.2500 0.7500  4 Zr 2.83, 4 Co 2.83
Be: 0.2500 0.7500 0.2500  4 Zr 2.83, 4 Co 2.83
Be: 0.7500 0.2500 0.2500  4 Zr 2.83, 4 Co 2.83
Be: 0.7500 0.7500 0.7500  4 Co 2.83, 4 Zr 2.83
Co: 0.0000 0.0000 0.5000  4 Be 2.83, 4 Bi 2.83
Co: 0.0000 0.5000 0.0000  4 Be 2.83, 4 Bi 2.83
Co: 0.5000 0.0000 0.0000  4 Be 2.83, 4 Bi 2.83
Co: 0.5000 0.5000 0.5000  4 Be 2.83, 4 Bi 2.83
Bi: 0.2500 0.2500 0.2500  4 Zr 2.83, 4 Co 2.83
Bi: 0.2500 0.7500 0.7500  4 Zr 2.83, 4 Co 2.83
Bi: 0.7500 0.2500 0.7500  4 Zr 2.83, 4 Co 2.83
Bi: 0.7500 0.7500 0.2500  4 Zr 2.83, 4 Co 2.83

Results
Its total magnetic moment is 0.0 μB per formula unit. Its space group is No. 216. As for the polymorph energy (0 for the lowest one): 249.9 meV/atom. The total energy is -0.397 Ry per atom. The calculated density is 8.79 g/cm3. The crystal system is cubic.

(4)
# ErZnPt

A relaxed ErZnPt crystal (PBE-GGA, OQMD via LeMat-Bulk).

a = 6.5402 Å, b = 6.5402 Å, c = 6.5402 Å
α = 90.00°, β = 90.00°, γ = 90.00°
With the nearest neighbours (Å) after each atom.
Positions (direct):
Er: 0.0000 0.0000 0.0000  4 Pt 2.83, 4 Zn 2.83
Er: 0.0000 0.5000 0.5000  4 Pt 2.83, 4 Zn 2.83
Er: 0.5000 0.0000 0.5000  4 Pt 2.83, 4 Zn 2.83
Er: 0.5000 0.5000 0.0000  4 Pt 2.83, 4 Zn 2.83
Zn: 0.2500 0.2500 0.2500  4 Er 2.83
Zn: 0.2500 0.7500 0.7500  4 Er 2.83
Zn: 0.7500 0.2500 0.7500  4 Er 2.83
Zn: 0.7500 0.7500 0.2500  4 Er 2.83
Pt: 0.2500 0.2500 0.7500  4 Er 2.83
Pt: 0.2500 0.7500 0.2500  4 Er 2.83
Pt: 0.7500 0.2500 0.2500  4 Er 2.83
Pt: 0.7500 0.7500 0.7500  4 Er 2.83

Results
Its total magnetic moment is 0.0 μB per formula unit. Its space group is No. 216. The value obtained for the energy of formation from the pure elements is -32 kJ per mole of atoms. The total energy is -0.316 Ry per atom. The calculated density is 10.16 g/cm3. The crystal system is cubic.

(5)
# Dy3Al3SiNi2

A relaxed Dy3Al3SiNi2 crystal (PBE-GGA, OQMD via LeMat-Bulk).

a = 7.8950 Å, b = 7.8950 Å, c = 3.1410 Å
α = 90.00°, β = 90.00°, γ = 120.00°
With the nearest neighbours (Å) after each atom.
Positions (direct):
Dy: 0.0000 0.3033 0.0000  2 Ni 2.76, 2 Si 2.86, 2 Al 3.03
Dy: 0.3033 0.0000 0.0000  2 Ni 2.76, 2 Si 2.86, 2 Al 3.03
Dy: 0.6967 0.6967 0.0000  2 Ni 2.76, 2 Si 2.86, 2 Al 3.03
Al: 0.0000 0.6310 0.5000  1 Si 2.91, 4 Ni 2.95, 6 Dy 3.03-3.12, 2 Al 3.14
Al: 0.3690 0.3690 0.5000  1 Si 2.91, 4 Ni 2.95, 6 Dy 3.03-3.12, 2 Al 3.14
Al: 0.6310 0.0000 0.5000  1 Si 2.91, 4 Ni 2.95, 6 Dy 3.03-3.12, 2 Al 3.14
Si: 0.0000 0.0000 0.5000  6 Dy 2.86, 3 Al 2.91, 2 Si 3.14
Ni: 0.3333 0.6667 0.0000  3 Dy 2.76, 6 Al 2.95
Ni: 0.6667 0.3333 0.0000  3 Dy 2.76, 6 Al 2.95

Results
Its total magnetic moment is 0.0 μB per formula unit. Its space group is No. 189. As for the polymorph energy (0 for the lowest one): 370.2 meV/atom. The total energy is -0.353 Ry per atom. The calculated density is 6.99 g/cm3. The crystal system is hexagonal.

(6)
# TbB4W

A relaxed TbB4W crystal (PBE-GGA, OQMD via LeMat-Bulk).

a = 3.1272 Å, b = 3.1272 Å, c = 7.1924 Å
α = 90.00°, β = 90.00°, γ = 120.00°
With the nearest neighbours (Å) after each atom.
Positions (direct):
Tb: 0.0000 0.0000 0.0000  12 B 2.68
B: 0.3333 0.6667 0.2756  3 B 1.81
B: 0.3333 0.6667 0.7244  3 B 1.81
B: 0.6667 0.3333 0.2756  3 B 1.81
B: 0.6667 0.3333 0.7244  3 B 1.81
W: 0.0000 0.0000 0.5000  12 B 2.42

Results
Its total magnetic moment is 0.0 μB per formula unit. Its space group is No. 191. As for the polymorph energy (0 for the lowest one): 134.7 meV/atom. The total energy is -0.576 Ry per atom. The calculated density is 10.52 g/cm3. The crystal system is hexagonal.

(7)
# PmMoIr

A relaxed PmMoIr crystal (PBE-GGA, OQMD via LeMat-Bulk).

a = 6.4959 Å, b = 6.4959 Å, c = 6.4959 Å
α = 90.00°, β = 90.00°, γ = 90.00°
With the nearest neighbours (Å) after each atom.
Positions (direct):
Pm: 0.0000 0.0000 0.0000  4 Ir 2.81
Pm: 0.0000 0.5000 0.5000  4 Ir 2.81
Pm: 0.5000 0.0000 0.5000  4 Ir 2.81
Pm: 0.5000 0.5000 0.0000  4 Ir 2.81
Mo: 0.0000 0.0000 0.5000  4 Ir 2.81
Mo: 0.0000 0.5000 0.0000  4 Ir 2.81
Mo: 0.5000 0.0000 0.0000  4 Ir 2.81
Mo: 0.5000 0.5000 0.5000  4 Ir 2.81
Ir: 0.2500 0.2500 0.7500  4 Mo 2.81, 4 Pm 2.81
Ir: 0.2500 0.7500 0.2500  4 Mo 2.81, 4 Pm 2.81
Ir: 0.7500 0.2500 0.2500  4 Mo 2.81, 4 Pm 2.81
Ir: 0.7500 0.7500 0.7500  4 Mo 2.81, 4 Pm 2.81

Results
Its total magnetic moment is 0.1 μB per formula unit. Its space group is No. 216. The value obtained for the energy of formation from the pure elements is 33 kJ per mole of atoms. As for the polymorph energy (0 for the lowest one): 0.0 meV/atom. The total energy is -0.574 Ry per atom. The calculated density is 10.50 g/cm3. The crystal system is cubic.

(8)
# TaW

A relaxed TaW crystal (PBE-GGA, OQMD via LeMat-Bulk).

a = 5.3699 Å, b = 5.3699 Å, c = 5.3699 Å
α = 90.00°, β = 90.00°, γ = 90.00°
With the nearest neighbours (Å) after each atom.
Positions (direct):
Ta: 0.0000 0.0000 0.0000  6 W 2.68
Ta: 0.0000 0.5000 0.5000  6 W 2.68
Ta: 0.5000 0.0000 0.5000  6 W 2.68
Ta: 0.5000 0.5000 0.0000  6 W 2.68
W: 0.0000 0.0000 0.5000  6 Ta 2.68
W: 0.0000 0.5000 0.0000  6 Ta 2.68
W: 0.5000 0.0000 0.0000  6 Ta 2.68
W: 0.5000 0.5000 0.5000  6 Ta 2.68

Results
Its total magnetic moment is 0.0 μB per formula unit. Its space group is No. 225. The value obtained for the energy of formation from the pure elements is 113 kJ per mole of atoms. The total energy is -0.826 Ry per atom. The calculated density is 15.65 g/cm3. The crystal system is cubic.